The following is a PBE calculation of a relaxed structure of CsRbCdAg3, from Alexandria.

Calculated values
* total moment: 0.000 μB/f.u.
* ΔE_f: 0.06 eV per atom

Cell: 9.819 9.819 6.935 Å, 99.88 99.88 135.83°
Atoms (fractional coordinates):
1 Cs 0.226 0.774 0.750
2 Cs 0.774 0.226 0.250
3 Rb 0.400 0.600 0.250
4 Rb 0.600 0.400 0.750
5 Cd 0.006 0.994 0.750
6 Cd 0.994 0.006 0.250
7 Ag 0.155 0.845 0.250
8 Ag 0.208 0.367 0.654
9 Ag 0.367 0.208 0.154
10 Ag 0.633 0.792 0.846
11 Ag 0.792 0.633 0.346
12 Ag 0.845 0.155 0.750